[1]
Here is a geometry-optimized Pm4Ga3Ir structure from Alexandria via LeMat-Bulk. Energies are from PBE.

Calculated values
ΔE_f   -0.63 eV/atom
Total energy   -41.99 eV for the cell shown

a b c (Å): 4.2778 4.3131 10.8478
angles (deg): 90.00 90.00 90.00
Positions (direct):
Pm (0.0000, 0.0000, 0.0000)
Pm (0.0000, 0.5000, 0.4784)
Pm (0.5000, 0.0000, 0.7022)
Pm (0.5000, 0.5000, 0.2075)
Ga (0.0000, 0.5000, 0.7731)
Ga (0.5000, 0.0000, 0.4149)
Ga (0.5000, 0.5000, 0.9193)
Ir (0.0000, 0.0000, 0.2733)


[2]
Here is a geometry-optimized Pm3Ga3Ir2 structure from Alexandria via LeMat-Bulk. Energies are from PBE.

Calculated values
ΔE_f   -0.73 eV/atom
Total energy   -187.60 eV for the cell shown

a b c (Å): 7.9675 15.2161 5.8052
angles (deg): 90.00 90.00 90.00
Positions (direct):
Pm (0.0324, 0.1077, 0.1134)
Pm (0.0324, 0.3923, 0.1134)
Pm (0.1629, 0.2500, 0.6269)
Pm (0.3371, 0.7500, 0.1269)
Pm (0.4676, 0.6077, 0.6134)
Pm (0.4676, 0.8923, 0.6134)
Pm (0.5324, 0.1077, 0.3866)
Pm (0.5324, 0.3923, 0.3866)
Pm (0.6629, 0.2500, 0.8731)
Pm (0.8371, 0.7500, 0.3731)
Pm (0.9676, 0.6077, 0.8866)
Pm (0.9676, 0.8923, 0.8866)
Ga (0.1680, 0.0385, 0.6009)
Ga (0.1680, 0.4615, 0.6009)
Ga (0.1773, 0.7500, 0.6170)
Ga (0.3227, 0.2500, 0.1170)
Ga (0.3320, 0.5385, 0.1009)
Ga (0.3320, 0.9615, 0.1009)
Ga (0.6680, 0.0385, 0.8991)
Ga (0.6680, 0.4615, 0.8991)
Ga (0.6773, 0.7500, 0.8830)
Ga (0.8227, 0.2500, 0.3830)
Ga (0.8320, 0.5385, 0.3991)
Ga (0.8320, 0.9615, 0.3991)
Ir (0.1253, 0.6059, 0.3766)
Ir (0.1253, 0.8941, 0.3766)
Ir (0.3747, 0.1059, 0.8766)
Ir (0.3747, 0.3941, 0.8766)
Ir (0.6253, 0.6059, 0.1234)
Ir (0.6253, 0.8941, 0.1234)
Ir (0.8747, 0.1059, 0.6234)
Ir (0.8747, 0.3941, 0.6234)


[3]
Here is a geometry-optimized Pm2GaIr2 structure from Alexandria via LeMat-Bulk. Energies are from PBE.

Calculated values
ΔE_f   -0.77 eV/atom
Total energy   -68.22 eV for the cell shown

a b c (Å): 4.1951 5.8694 8.7350
angles (deg): 90.00 90.00 90.00
Positions (direct):
Pm (0.0000, 0.0000, 0.1989)
Pm (0.0000, 0.0000, 0.8011)
Pm (0.5000, 0.5000, 0.3011)
Pm (0.5000, 0.5000, 0.6989)
Ga (0.0000, 0.5000, 0.0000)
Ga (0.5000, 0.0000, 0.5000)
Ir (0.0000, 0.2615, 0.5000)
Ir (0.0000, 0.7385, 0.5000)
Ir (0.5000, 0.2385, 0.0000)
Ir (0.5000, 0.7615, 0.0000)


[4]
Here is a geometry-optimized PmGa2Ir structure from Alexandria via LeMat-Bulk. Energies are from PBE.

Calculated values
ΔE_f   -0.67 eV/atom
Total energy   -67.00 eV for the cell shown

a b c (Å): 4.2458 4.2458 15.4353
angles (deg): 90.00 90.00 120.00
Positions (direct):
Pm (0.0000, 0.0000, 0.0000)
Pm (0.3333, 0.6667, 0.6667)
Pm (0.6667, 0.3333, 0.3333)
Ga (0.0000, 0.0000, 0.2146)
Ga (0.0000, 0.0000, 0.7854)
Ga (0.3333, 0.6667, 0.4521)
Ga (0.3333, 0.6667, 0.8813)
Ga (0.6667, 0.3333, 0.1187)
Ga (0.6667, 0.3333, 0.5479)
Ir (0.0000, 0.0000, 0.5000)
Ir (0.3333, 0.6667, 0.1667)
Ir (0.6667, 0.3333, 0.8333)


[5]
Here is a geometry-optimized PmGa2Ir structure from Alexandria via LeMat-Bulk. Energies are from PBE.

Calculated values
ΔE_f   -0.71 eV/atom
Total energy   -44.99 eV for the cell shown

a b c (Å): 4.2282 4.2282 10.3459
angles (deg): 90.00 90.00 120.00
Positions (direct):
Pm (0.3333, 0.6667, 0.2500)
Pm (0.6667, 0.3333, 0.7500)
Ga (0.3333, 0.6667, 0.5744)
Ga (0.3333, 0.6667, 0.9256)
Ga (0.6667, 0.3333, 0.0744)
Ga (0.6667, 0.3333, 0.4256)
Ir (0.0000, 0.0000, 0.0000)
Ir (0.0000, 0.0000, 0.5000)


[6]
Here is a geometry-optimized Pm3Ga6Ir5 structure from Alexandria via LeMat-Bulk. Energies are from PBE.

Calculated values
ΔE_f   -0.69 eV/atom
Total energy   -172.75 eV for the cell shown

a b c (Å): 4.2508 12.8075 9.4906
angles (deg): 90.00 90.00 90.00
Positions (direct):
Pm (0.2500, 0.0540, 0.2481)
Pm (0.2500, 0.4460, 0.2481)
Pm (0.2500, 0.7500, 0.2430)
Pm (0.7500, 0.2500, 0.7570)
Pm (0.7500, 0.5540, 0.7519)
Pm (0.7500, 0.9460, 0.7519)
Ga (0.2500, 0.0693, 0.9068)
Ga (0.2500, 0.2500, 0.0724)
Ga (0.2500, 0.2500, 0.4574)
Ga (0.2500, 0.4307, 0.9068)
Ga (0.2500, 0.5972, 0.5219)
Ga (0.2500, 0.9028, 0.5219)
Ga (0.7500, 0.0972, 0.4781)
Ga (0.7500, 0.4028, 0.4781)
Ga (0.7500, 0.5693, 0.0932)
Ga (0.7500, 0.7500, 0.5426)
Ga (0.7500, 0.7500, 0.9276)
Ga (0.7500, 0.9307, 0.0932)
Ir (0.2500, 0.0942, 0.6288)
Ir (0.2500, 0.4058, 0.6288)
Ir (0.2500, 0.6371, 0.9645)
Ir (0.2500, 0.7500, 0.7088)
Ir (0.2500, 0.8629, 0.9645)
Ir (0.7500, 0.1371, 0.0355)
Ir (0.7500, 0.2500, 0.2912)
Ir (0.7500, 0.3629, 0.0355)
Ir (0.7500, 0.5942, 0.3712)
Ir (0.7500, 0.9058, 0.3712)


[7]
Here is a geometry-optimized PmGa2Ir2 structure from Alexandria via LeMat-Bulk. Energies are from PBE.

Calculated values
ΔE_f   -0.71 eV/atom
Total energy   -64.20 eV for the cell shown

a b c (Å): 4.2831 4.2831 10.2476
angles (deg): 90.00 90.00 90.00
Positions (direct):
Pm (0.2500, 0.2500, 0.2379)
Pm (0.7500, 0.7500, 0.7621)
Ga (0.2500, 0.2500, 0.8734)
Ga (0.2500, 0.7500, 0.5000)
Ga (0.7500, 0.2500, 0.5000)
Ga (0.7500, 0.7500, 0.1266)
Ir (0.2500, 0.2500, 0.6315)
Ir (0.2500, 0.7500, 0.0000)
Ir (0.7500, 0.2500, 0.0000)
Ir (0.7500, 0.7500, 0.3685)


[8]
Here is a geometry-optimized PmGa3Ir2 structure from Alexandria via LeMat-Bulk. Energies are from PBE.

Calculated values
ΔE_f   -0.31 eV/atom
Total energy   -66.87 eV for the cell shown

a b c (Å): 9.0260 9.0260 3.2579
angles (deg): 90.00 90.00 120.00
Positions (direct):
Pm (0.3333, 0.6667, 0.0010)
Pm (0.6667, 0.3333, 0.9990)
Ga (0.1639, 0.3279, 0.5016)
Ga (0.1639, 0.8361, 0.5016)
Ga (0.3279, 0.1639, 0.4984)
Ga (0.6721, 0.8361, 0.5016)
Ga (0.8361, 0.1639, 0.4984)
Ga (0.8361, 0.6721, 0.4984)
Ir (0.0000, 0.0000, 0.5000)
Ir (0.0000, 0.5000, 0.5000)
Ir (0.5000, 0.0000, 0.5000)
Ir (0.5000, 0.5000, 0.5000)


[9]
Here is a geometry-optimized Pm3Ga4Ir4 structure from Alexandria via LeMat-Bulk. Energies are from PBE.

Calculated values
ΔE_f   -0.68 eV/atom
Total energy   -69.23 eV for the cell shown

a b c (Å): 13.0000 13.0000 13.0000
angles (deg): 161.98 160.59 26.60
Positions (direct):
Pm (0.0000, 0.0000, 0.0000)
Pm (0.3563, 0.8563, 0.5000)
Pm (0.6437, 0.1437, 0.5000)
Ga (0.0971, 0.5971, 0.5000)
Ga (0.2529, 0.2529, 0.0000)
Ga (0.7471, 0.7471, 0.0000)
Ga (0.9029, 0.4029, 0.5000)
Ir (0.1949, 0.6949, 0.5000)
Ir (0.4493, 0.4493, 0.0000)
Ir (0.5507, 0.5507, 0.0000)
Ir (0.8051, 0.3051, 0.5000)


[10]
Here is a geometry-optimized Pm5Ga4Ir structure from Alexandria via LeMat-Bulk. Energies are from PBE.

Calculated values
ΔE_f   -0.58 eV/atom
Total energy   -50.54 eV for the cell shown

a b c (Å): 3.6476 3.6476 18.1570
angles (deg): 90.00 90.00 90.00
Positions (direct):
Pm (0.0000, 0.0000, 0.0000)
Pm (0.0000, 0.0000, 0.2038)
Pm (0.0000, 0.0000, 0.4090)
Pm (0.0000, 0.0000, 0.5910)
Pm (0.0000, 0.0000, 0.7962)
Ga (0.5000, 0.5000, 0.1010)
Ga (0.5000, 0.5000, 0.3024)
Ga (0.5000, 0.5000, 0.6976)
Ga (0.5000, 0.5000, 0.8990)
Ir (0.5000, 0.5000, 0.5000)


[11]
Here is a geometry-optimized Pm3Ga8Ir3 structure from Alexandria via LeMat-Bulk. Energies are from PBE.

Calculated values
ΔE_f   -0.65 eV/atom
Total energy   -74.19 eV for the cell shown

a b c (Å): 8.2585 8.2585 8.2585
angles (deg): 150.01 106.07 81.78
Positions (direct):
Pm (0.0000, 0.0000, 0.0000)
Pm (0.3261, 0.3261, 0.0000)
Pm (0.6739, 0.6739, 0.0000)
Ga (0.0367, 0.6680, 0.3687)
Ga (0.1625, 0.8782, 0.2842)
Ga (0.2993, 0.6680, 0.6313)
Ga (0.4060, 0.1218, 0.2842)
Ga (0.5940, 0.8782, 0.7158)
Ga (0.7007, 0.3320, 0.3687)
Ga (0.8375, 0.1218, 0.7158)
Ga (0.9633, 0.3320, 0.6313)
Ir (0.2814, 0.5000, 0.7814)
Ir (0.5000, 0.0000, 0.5000)
Ir (0.7186, 0.5000, 0.2186)


[12]
Here is a geometry-optimized Pm2Ga3Ir2 structure from Alexandria via LeMat-Bulk. Energies are from PBE.

Calculated values
ΔE_f   -0.73 eV/atom
Total energy   -82.79 eV for the cell shown

a b c (Å): 10.4124 4.1726 7.1335
angles (deg): 90.00 115.16 90.00
Positions (direct):
Pm (0.1455, 0.0000, 0.2687)
Pm (0.3545, 0.5000, 0.7313)
Pm (0.6455, 0.5000, 0.2687)
Pm (0.8545, 0.0000, 0.7313)
Ga (0.0000, 0.5000, 0.5000)
Ga (0.1377, 0.5000, 0.9424)
Ga (0.3623, 0.0000, 0.0576)
Ga (0.5000, 0.0000, 0.5000)
Ga (0.6377, 0.0000, 0.9424)
Ga (0.8623, 0.5000, 0.0576)
Ir (0.1351, 0.0000, 0.7017)
Ir (0.3649, 0.5000, 0.2983)
Ir (0.6351, 0.5000, 0.7017)
Ir (0.8649, 0.0000, 0.2983)


Computed DOS at the Fermi energy, in the same sequence as the records: 6.849 21.993 5.432 7.828 4.114 21.305 5.537 7.761 7.562 4.253 8.222 6.606 states/eV/cell.
Computed density, in the same sequence as the records: 8.14 9.71 11.49 9.85 9.88 11.66 11.82 10.67 10.91 8.22 9.84 10.46 Mg/m³.